A plane-wave DFT calculation with PBE-GGA was carried out for an optimized crystal structure of Ce2GeBPt6. Values from VASP.

Volume, Å³/f.u.: 182.6
SG: R-3m
DFT formation energy, eV/atom: -0.819
Uncorrected energy, eV per cell: -135.2
Spin magnetization, μB/atom: 0.15

Geometry as Quantum ESPRESSO input:
```
&SYSTEM
  ibrav = 0, nat = 20, ntyp = 4
/
ATOMIC_SPECIES
Ce 140.12 Ce.upf
Ge 72.64 Ge.upf
B 10.81 B.upf
Pt 195.08 Pt.upf
ATOMIC_POSITIONS crystal
Ce 0.107 0.107 0.107
Ce 0.276 0.276 0.276
Ce 0.724 0.724 0.724
Ce 0.893 0.893 0.893
Ge 0.419 0.419 0.419
Ge 0.581 0.581 0.581
B 0.000 0.000 0.000
B 0.500 0.500 0.500
Pt 0.116 0.643 0.643
Pt 0.203 0.203 0.695
Pt 0.203 0.695 0.203
Pt 0.305 0.797 0.797
Pt 0.357 0.357 0.884
Pt 0.357 0.884 0.357
Pt 0.643 0.116 0.643
Pt 0.643 0.643 0.116
Pt 0.695 0.203 0.203
Pt 0.797 0.305 0.797
Pt 0.797 0.797 0.305
Pt 0.884 0.357 0.357
CELL_PARAMETERS angstrom
2.861 1.652 12.886
-2.861 1.652 12.886
0.000 -3.303 12.886
```


A plane-wave DFT calculation with PBE-GGA was carried out for an optimized crystal structure of La2PmAg. Values from VASP.

Volume, Å³/f.u.: 127.7
SG: P4/mmm
DFT formation energy, eV/atom: -0.106
Uncorrected energy, eV per cell: -17.9
Spin magnetization, μB/atom: 0.00

Geometry as Quantum ESPRESSO input:
```
&SYSTEM
  ibrav = 0, nat = 4, ntyp = 3
/
ATOMIC_SPECIES
La 138.91 La.upf
Pm 145.00 Pm.upf
Ag 107.87 Ag.upf
ATOMIC_POSITIONS crystal
La 0.000 0.000 0.218
La 0.000 0.000 0.782
Pm 0.500 0.500 0.500
Ag 0.500 0.500 0.000
CELL_PARAMETERS angstrom
3.801 0.000 0.000
0.000 3.801 0.000
0.000 0.000 8.837
```


A plane-wave DFT calculation with PBE-GGA was carried out for an optimized crystal structure of Ca2Be2HgPd5. Values from VASP.

Volume, Å³/f.u.: 167.2
SG: P4/mbm
DFT formation energy, eV/atom: -0.604
Uncorrected energy, eV per cell: -87.5
Spin magnetization, μB/atom: 0.00

Geometry as Quantum ESPRESSO input:
```
&SYSTEM
  ibrav = 0, nat = 20, ntyp = 4
/
ATOMIC_SPECIES
Ca 40.08 Ca.upf
Be 9.01 Be.upf
Hg 200.59 Hg.upf
Pd 106.42 Pd.upf
ATOMIC_POSITIONS crystal
Ca 0.178 0.322 0.000
Ca 0.322 0.822 0.000
Ca 0.678 0.178 0.000
Ca 0.822 0.678 0.000
Be 0.119 0.619 0.000
Be 0.381 0.119 0.000
Be 0.619 0.881 0.000
Be 0.881 0.381 0.000
Hg 0.000 0.000 0.000
Hg 0.500 0.500 0.000
Pd 0.000 0.500 0.500
Pd 0.069 0.777 0.500
Pd 0.223 0.069 0.500
Pd 0.277 0.569 0.500
Pd 0.431 0.277 0.500
Pd 0.500 0.000 0.500
Pd 0.569 0.723 0.500
Pd 0.723 0.431 0.500
Pd 0.777 0.931 0.500
Pd 0.931 0.223 0.500
CELL_PARAMETERS angstrom
9.836 0.000 0.000
0.000 9.836 0.000
0.000 0.000 3.457
```


A plane-wave DFT calculation with PBE-GGA was carried out for an optimized crystal structure of Cd2TeW. Values from VASP.

Volume, Å³/f.u.: 94.4
SG: Immm
Uncorrected energy, eV per cell: -15.6
Spin magnetization, μB/atom: 0.00

Geometry as Quantum ESPRESSO input:
```
&SYSTEM
  ibrav = 0, nat = 4, ntyp = 3
/
ATOMIC_SPECIES
Cd 112.41 Cd.upf
Te 127.60 Te.upf
W 183.84 W.upf
ATOMIC_POSITIONS crystal
Cd 0.191 0.191 0.000
Cd 0.809 0.809 0.000
Te 0.500 0.000 0.500
W 0.000 0.500 0.500
CELL_PARAMETERS angstrom
-1.542 2.218 6.902
1.542 -2.218 6.902
1.542 2.218 -6.902
```


A plane-wave DFT calculation with PBE-GGA was carried out for an optimized crystal structure of In2FeP. Values from VASP.

Volume, Å³/f.u.: 72.8
SG: Amm2
DFT formation energy, eV/atom: 0.053
Uncorrected energy, eV per cell: -19.1
Spin magnetization, μB/atom: 0.24

Geometry as Quantum ESPRESSO input:
```
&SYSTEM
  ibrav = 0, nat = 4, ntyp = 3
/
ATOMIC_SPECIES
In 114.82 In.upf
Fe 55.84 Fe.upf
P 30.97 P.upf
ATOMIC_POSITIONS crystal
In 0.000 0.000 0.000
In 0.500 0.304 0.304
Fe 0.500 0.589 0.589
P 0.000 0.713 0.713
CELL_PARAMETERS angstrom
3.728 0.000 0.000
0.000 2.023 4.823
0.000 -2.023 4.823
```


A plane-wave DFT calculation with PBE-GGA was carried out for an optimized crystal structure of YTlIn2. Values from VASP.

Volume, Å³/f.u.: 114.0
SG: R-3m
DFT formation energy, eV/atom: -0.129
Uncorrected energy, eV per cell: -14.8
Spin magnetization, μB/atom: 0.00

Geometry as Quantum ESPRESSO input:
```
&SYSTEM
  ibrav = 0, nat = 4, ntyp = 3
/
ATOMIC_SPECIES
Y 88.91 Y.upf
Tl 204.38 Tl.upf
In 114.82 In.upf
ATOMIC_POSITIONS crystal
Y 0.000 0.000 0.000
Tl 0.500 0.500 0.500
In 0.252 0.252 0.252
In 0.748 0.748 0.748
CELL_PARAMETERS angstrom
1.766 1.019 10.557
-1.766 1.019 10.557
0.000 -2.039 10.557
```


A plane-wave DFT calculation with PBE-GGA was carried out for an optimized crystal structure of PmNdDy5Th2. Values from VASP.

Volume, Å³/f.u.: 301.5
SG: I4/mcm
DFT formation energy, eV/atom: 0.320
Uncorrected energy, eV per cell: -89.0
Spin magnetization, μB/atom: 0.00

Geometry as Quantum ESPRESSO input:
```
&SYSTEM
  ibrav = 0, nat = 18, ntyp = 4
/
ATOMIC_SPECIES
Pm 145.00 Pm.upf
Nd 144.24 Nd.upf
Dy 162.50 Dy.upf
Th 232.04 Th.upf
ATOMIC_POSITIONS crystal
Pm 0.250 0.250 0.000
Pm 0.750 0.750 0.000
Nd 0.250 0.750 0.500
Nd 0.750 0.250 0.500
Dy 0.000 0.000 0.000
Dy 0.069 0.569 0.914
Dy 0.156 0.069 0.500
Dy 0.344 0.844 0.914
Dy 0.431 0.344 0.500
Dy 0.500 0.500 0.000
Dy 0.569 0.656 0.500
Dy 0.656 0.156 0.086
Dy 0.844 0.931 0.500
Dy 0.931 0.431 0.086
Th 0.119 0.381 0.500
Th 0.381 0.881 0.262
Th 0.619 0.119 0.738
Th 0.881 0.619 0.500
CELL_PARAMETERS angstrom
-4.426 4.426 7.696
4.426 -4.426 7.696
4.426 4.426 -7.696
```


A plane-wave DFT calculation with PBE-GGA was carried out for an optimized crystal structure of Pt2BrN. Values from VASP.

Volume, Å³/f.u.: 59.2
SG: Fm-3m
Uncorrected energy, eV per cell: -15.8
Spin magnetization, μB/atom: 0.00

Geometry as Quantum ESPRESSO input:
```
&SYSTEM
  ibrav = 0, nat = 4, ntyp = 3
/
ATOMIC_SPECIES
Pt 195.08 Pt.upf
Br 79.90 Br.upf
N 14.01 N.upf
ATOMIC_POSITIONS crystal
Pt 0.250 0.250 0.250
Pt 0.750 0.750 0.750
Br 0.000 0.000 0.000
N 0.500 0.500 0.500
CELL_PARAMETERS angstrom
0.000 3.094 3.094
3.094 0.000 3.094
3.094 3.094 0.000
```